Material: Y2CuPt
Method: DFT, PBE-GGA
State: optimized geometry

Formation energy from the elements in eV/atom: -0.7580
Spin magnetization in μB/cell: 0.00

a b c (Å): 6.984 6.984 6.984
angles (deg): 90.00 90.00 90.00
Space group Fm-3m (No. 225)
Unique sites:
Y: 0.250 0.250 0.250
Cu: 0.000 0.000 0.000
Pt: 0.000 0.000 0.500